1:
{
  "formula": "LiCrW2",
  "functional": "GGA-PBEsol",
  "state": "relaxed",
  "crystal_system": "cubic",
  "lattice_angstrom": [[-0.8579, -2.4946, -3.3849], [-1.6403, -3.9221, 0.5858], [-4.0704, -0.8087, -1.0928]],
  "species": ["Cr", "Li", "W", "W"],
  "fractional_positions": [[0.5000, 0.5000, 0.5000], [0.2500, 0.2500, 0.2500], [0.0000, 0.0000, 0.0000], [0.7500, 0.7500, 0.7500]]
}


2:
{
  "formula": "LiCrW2",
  "functional": "GGA-PBEsol",
  "state": "relaxed",
  "crystal_system": "tetragonal",
  "lattice_angstrom": [[-1.9682, -1.9334, 1.2773], [2.2587, -1.9750, 0.4908], [0.9755, 2.3873, 5.1170]],
  "species": ["Cr", "Li", "W", "W"],
  "fractional_positions": [[0.5000, 0.5000, 0.0000], [0.5000, 0.5000, 0.5000], [0.0000, 0.0000, 0.7512], [0.0000, 0.0000, 0.2488]]
}


What should be chosen as the least stable of them? Choose 2.


1:
{
  "formula": "LiCrW2",
  "functional": "GGA-PBEsol",
  "state": "relaxed",
  "crystal_system": "tetragonal",
  "lattice_angstrom": [[4.1004, 0.0000, 0.0000], [-2.0502, 3.7682, 0.0310], [0.0000, 2.2025, 3.4586]],
  "species": ["Cr", "Li", "W", "W"],
  "fractional_positions": [[0.5000, 0.0000, 0.5000], [0.0000, 0.0000, 0.0000], [0.2500, 0.5000, 0.2500], [0.7500, 0.5000, 0.7500]]
}


2:
{
  "formula": "LiCrW2",
  "functional": "GGA-PBEsol",
  "state": "relaxed",
  "crystal_system": "monoclinic",
  "lattice_angstrom": [[2.5869, 0.0000, -0.0028], [0.0000, 4.2169, 0.0000], [-0.7923, 0.0000, 5.0716]],
  "species": ["Cr", "Li", "W", "W"],
  "fractional_positions": [[0.5000, 0.5000, 0.0000], [0.0000, 0.5000, 0.5000], [0.7614, 0.0000, 0.7545], [0.2386, 0.0000, 0.2455]]
}


What should be chosen as the least stable of them? Choose 1.